1.
Here is Tl3SbTe2O8 after structural relaxation from Alexandria via LeMat-Bulk. Energies are from PBE-GGA.

abc: 6.2841 6.2841 7.8116
angles: 90.00 90.00 120.00
Fractional positions:
Tl (0.0000, 0.0000, 0.0000)
Tl (0.3333, 0.6667, 0.8120)
Tl (0.6667, 0.3333, 0.1880)
Sb (0.0000, 0.0000, 0.5000)
Te (0.3333, 0.6667, 0.3570)
Te (0.6667, 0.3333, 0.6430)
O (0.1448, 0.2897, 0.3364)
O (0.1448, 0.8552, 0.3364)
O (0.2897, 0.1448, 0.6636)
O (0.3333, 0.6667, 0.1184)
O (0.6667, 0.3333, 0.8816)
O (0.7103, 0.8552, 0.3364)
O (0.8552, 0.1448, 0.6636)
O (0.8552, 0.7103, 0.6636)

Computed properties:
E_form (uncorrected)	-0.94	eV per atom
SG	No. 164
D(E_F)	0.00	states/eV/atom

***

2.
Here is TlSbTeO6 after structural relaxation from Alexandria via LeMat-Bulk. Energies are from PBE-GGA.

abc: 5.3331 5.3331 6.3585
angles: 90.00 90.00 120.00
Fractional positions:
Tl (0.0000, 0.0000, 0.0000)
Sb (0.6667, 0.3333, 0.5000)
Te (0.3333, 0.6667, 0.5000)
O (0.0081, 0.3892, 0.3234)
O (0.0081, 0.6189, 0.6766)
O (0.3811, 0.3892, 0.6766)
O (0.3811, 0.9919, 0.3234)
O (0.6108, 0.6189, 0.3234)
O (0.6108, 0.9919, 0.6766)

Computed properties:
E_form (uncorrected)	-1.15	eV per atom
SG	No. 149
D(E_F)	0.00	states/eV/atom

***

3.
Here is TlSb2TeO after structural relaxation from Alexandria via LeMat-Bulk. Energies are from PBE-GGA.

abc: 4.7524 4.7524 5.5187
angles: 90.00 90.00 90.00
Fractional positions:
Tl (0.0000, 0.0000, 0.0000)
Sb (0.0000, 0.5000, 0.5000)
Sb (0.5000, 0.0000, 0.5000)
Te (0.5000, 0.5000, 0.0000)
O (0.5000, 0.5000, 0.5000)

Computed properties:
E_form (uncorrected)	0.01	eV per atom
SG	No. 123
D(E_F)	0.82	states/eV/atom
polymorph energy (0 for the lowest one)	0	meV/atom